Entry 1:
A geometry-optimized FeAs2Ru structure. Source: Alexandria, functional PBE.

## Properties
Size of the total moment, μB per cell: 2.26
Energy of formation, meV per atom: 315
Energy above the lowest structure with this stoichiometry, meV/atom: 378

Lattice parameters (Å, degrees): 3.045 5.099 3.917 90.00 90.00 90.00
Last column: magnetic moment on the atom in μB.
Element x y z (fractional)
As (0.500, 0.500, 0.000)  -0.01
As (0.000, 0.000, 0.000)  -0.03
Ru (0.000, 0.500, 0.500)  0.02
Fe (0.500, 0.000, 0.500)  2.29

Entry 2:
A geometry-optimized FeAsRu2 structure. Source: Alexandria, functional PBE.

## Properties
Size of the total moment, μB per cell: 3.62
Energy of formation, meV per atom: 422

Lattice parameters (Å, degrees): 2.761 2.761 8.509 90.00 90.00 117.25
Last column: magnetic moment on the atom in μB.
Element x y z (fractional)
As (0.000, 0.000, 0.503)  0.02
Ru (0.000, 0.000, 0.993)  0.77
Ru (0.500, 0.500, 0.257)  0.13
Fe (0.500, 0.500, 0.747)  2.67